(1)
LiMn2Ag after structural relaxation. Source: Alexandria via LeMat-Bulk, functional PBE.

a b c (Å): 2.7491 4.6304 4.8928
angles (deg): 90.00 96.55 90.00
Fractional coordinates of all 4 atoms:
Li1 0.0000 0.0000 0.0000
Mn1 0.2294 0.5000 0.7555
Mn2 0.7706 0.5000 0.2445
Ag1 0.5000 0.0000 0.5000

Space-group type   P2/m, No. 10
Fermi-level density of states   3.57 states/eV per cell
Formation energy from the elements   350 meV/atom
Total energy   -21.70 eV for the cell shown
Size of the total moment   7.326 Bohr magnetons per cell

(2)
LiMnAg after structural relaxation. Source: Alexandria via LeMat-Bulk, functional PBE.

a b c (Å): 6.2861 6.2861 6.2861
angles (deg): 153.57 153.57 37.72
Fractional coordinates of all 3 atoms:
Li1 0.0000 0.0000 0.0000
Mn1 0.3272 0.3272 0.0000
Ag1 0.6618 0.6618 0.0000

Space-group type   I4mm, No. 107
Fermi-level density of states   1.89 states/eV per cell
Formation energy from the elements   228 meV/atom
Total energy   -13.25 eV for the cell shown
Size of the total moment   3.940 Bohr magnetons per cell